Record 1
A relaxed structure of Nd3YGa2, computed with PBE.

Unit cell a=9.0883 b=9.0883 c=9.3386 alpha=113.01 beta=113.01 gamma=29.10
With the nearest neighbours (Å) after each atom.
Sites, in units of the cell vectors:
Nd (0.0445, 0.0445, 0.1884)  3 Ga 3.10-3.25, 3 Nd 3.22-3.41
Nd (0.3199, 0.3199, 0.5706)  2 Ga 3.03-3.04, 2 Nd 3.22
Nd (0.3489, 0.3489, 0.0222)  4 Ga 3.11-3.21
Nd (0.6511, 0.6511, 0.9778)  4 Ga 3.11-3.21
Nd (0.6801, 0.6801, 0.4294)  2 Ga 3.03-3.04, 2 Nd 3.22
Nd (0.9555, 0.9555, 0.8116)  3 Ga 3.10-3.25, 3 Nd 3.22-3.41
Y (0.1163, 0.1163, 0.6387)  4 Ga 3.02-3.33
Y (0.8837, 0.8837, 0.3613)  4 Ga 3.02-3.33
Ga (0.2345, 0.2345, 0.2161)  5 Nd 3.03-3.25, 2 Y 3.33
Ga (0.4953, 0.4953, 0.3582)  1 Ga 2.59
Ga (0.5047, 0.5047, 0.6418)  1 Ga 2.59
Ga (0.7655, 0.7655, 0.7839)  5 Nd 3.03-3.25, 2 Y 3.33

Results
Symmetry: C2/m
E_tot in eV/cell: -57.74
Total magnetization in μB/f.u.: 0.0
ΔH_f (0 K) in meV/atom: -341.5

Record 2
A relaxed structure of NdYGa, computed with PBE.

Unit cell a=6.0332 b=6.0332 c=6.3787 alpha=108.79 beta=108.79 gamma=49.34
With the nearest neighbours (Å) after each atom.
Sites, in units of the cell vectors:
Nd (0.0000, 0.0000, 0.0000)  3 Ga 3.07-3.40, 5 Y 3.30-3.43
Nd (0.5921, 0.5921, 0.4025)  3 Ga 3.01-3.16, 1 Y 3.33
Y (0.3104, 0.3104, 0.6826)  4 Ga 3.10-3.35, 2 Nd 3.43
Y (0.6928, 0.6928, 0.9676)  2 Ga 2.92
Ga (0.2993, 0.2993, 0.1903)  3 Y 2.92-3.10, 2 Nd 3.01-3.07, 2 Ga 3.22
Ga (0.9430, 0.9430, 0.4909)  4 Nd 3.08-3.40, 2 Ga 3.22, 2 Y 3.35

Results
Symmetry: Cm
E_tot in eV/cell: -29.84
Total magnetization in μB/f.u.: 0.0
ΔH_f (0 K) in meV/atom: -221.0

Record 3
A relaxed structure of Nd3YGa4, computed with PBE.

Unit cell a=3.6642 b=3.6642 c=14.7074 alpha=90.00 beta=90.00 gamma=90.00
With the nearest neighbours (Å) after each atom.
Sites, in units of the cell vectors:
Nd (0.0000, 0.0000, 0.0000)  8 Ga 3.20
Nd (0.0000, 0.0000, 0.2544)  8 Ga 3.20-3.22
Nd (0.0000, 0.0000, 0.7456)  8 Ga 3.20-3.22
Y (0.0000, 0.0000, 0.5000)  8 Ga 3.10
Ga (0.5000, 0.5000, 0.1272)  8 Nd 3.20
Ga (0.5000, 0.5000, 0.3843)  4 Y 3.10, 4 Nd 3.22, 1 Ga 3.40
Ga (0.5000, 0.5000, 0.6157)  4 Y 3.10, 4 Nd 3.22, 1 Ga 3.40
Ga (0.5000, 0.5000, 0.8728)  8 Nd 3.20

Results
Symmetry: P4/mmm
E_tot in eV/cell: -37.45
Total magnetization in μB/f.u.: 0.0
ΔH_f (0 K) in meV/atom: -572.5

no.,volume (Å³/f.u.)
1,172
2,82
3,197